# Na4As2Au (PBE, optimized geometry)
data_Na4As2Au
_chemical_formula_sum 'Na4 As2 Au1'
_symmetry_space_group_name_H-M 'P 1'
_symmetry_Int_Tables_number 1
_cell_length_a 4.999
_cell_length_b 4.999
_cell_length_c 9.291
_cell_angle_alpha 74.39
_cell_angle_beta 74.39
_cell_angle_gamma 60.00
loop_
_symmetry_equiv_pos_as_xyz
'x,y,z'
loop_
_atom_site_label
_atom_site_fract_x
_atom_site_fract_y
_atom_site_fract_z
Na1 0.615 0.615 0.154
Na2 0.206 0.206 0.381
Na3 0.385 0.385 0.846
Na4 0.794 0.794 0.619
Au1 0.000 0.000 0.000
As1 0.908 0.908 0.276
As2 0.092 0.092 0.724
# Space-group type = R-3m (166)
# Crystal system = trigonal
# ΔH_f (0 K) = -0.408 eV per atom

# Pm3Pr3Tl (PBE, optimized geometry)
data_Pm3Pr3Tl
_chemical_formula_sum 'Pm6 Pr6 Tl2'
_symmetry_space_group_name_H-M 'P 1'
_symmetry_Int_Tables_number 1
_cell_length_a 8.645
_cell_length_b 8.645
_cell_length_c 8.940
_cell_angle_alpha 61.09
_cell_angle_beta 61.09
_cell_angle_gamma 60.00
loop_
_symmetry_equiv_pos_as_xyz
'x,y,z'
loop_
_atom_site_label
_atom_site_fract_x
_atom_site_fract_y
_atom_site_fract_z
Pm1 0.558 0.073 0.645
Pm2 0.725 0.558 0.645
Pm3 0.927 0.275 0.355
Pm4 0.073 0.725 0.645
Pm5 0.442 0.927 0.355
Pm6 0.275 0.442 0.355
Pr1 0.206 0.926 0.166
Pr2 0.298 0.794 0.834
Pr3 0.702 0.206 0.166
Pr4 0.926 0.702 0.166
Pr5 0.794 0.074 0.834
Pr6 0.074 0.298 0.834
Tl1 0.335 0.335 0.996
Tl2 0.665 0.665 0.004
# Space-group type = R-3 (148)
# Crystal system = trigonal
# ΔH_f (0 K) = 0.094 eV per atom

Density of states at the Fermi level values (in states/eV/atom) by entry order: 0.536; 0.923.
Final energy values (in eV/atom) by entry order: -2.96; -4.33.